Material: CsGaCuS2
Method: DFT, PBE
State: optimized geometry

Values from the calculation:
* calculated density: 4331 kg/m3
* raw formation energy: 0.13 eV per atom
* total moment: 0.00 Bohr magnetons per cell
* E above lowest polymorph: 674 meV/atom
* SG: P4/mmm (123)

Lattice parameters (Å, degrees): 4.8331 5.4213 4.8331 90.00 90.00 90.00
Fractional positions:
Cs  0.0000  0.5000  0.0000
S  0.5000  0.0000  0.0000
S  0.0000  0.0000  0.5000
Cu  0.0000  0.0000  0.0000
Ga  0.5000  0.5000  0.5000